# Cs3U2ZnO9 PBE optimized geometry
data_Cs3U2ZnO9
_chemical_formula_sum 'Cs3 U2 Zn1 O9'
_cell_length_a 6.171
_cell_length_b 6.171
_cell_length_c 7.545
_cell_angle_alpha 90.00
_cell_angle_beta 90.00
_cell_angle_gamma 120.00
_space_group_name_H-M_alt 'P 1'
_space_group_IT_number 1
loop_
_space_group_symop_operation_xyz
'x,y,z'
loop_
_atom_site_label
_atom_site_fract_x
_atom_site_fract_y
_atom_site_fract_z
_atom_site_occupancy
O1 0.000 0.500 0.000 1
O2 0.351 0.175 0.678 1
O3 0.649 0.825 0.322 1
U1 0.667 0.333 0.829 1
O4 0.825 0.649 0.678 1
O5 0.175 0.825 0.322 1
Cs1 0.667 0.333 0.340 1
O6 0.500 0.000 0.000 1
Cs2 0.000 0.000 0.000 1
Cs3 0.333 0.667 0.660 1
O7 0.500 0.500 0.000 1
Zn1 0.000 0.000 0.500 1
O8 0.825 0.175 0.678 1
O9 0.175 0.351 0.322 1
U2 0.333 0.667 0.171 1
# * E: -7.01 eV per atom
# * volume: 248.8 Å³/cell
# * crystal system: trigonal
# * magnetization: 0.0 μB per cell